(1)
# BeNi3 (GGA-PBEsol, relaxed)
# Formation energy from the elements = -180.0 meV per atom
# Energy = -23.192 eV/f.u.
data_BeNi3
_space_group_name_H-M_alt 'C m m m'
_space_group_IT_number 65
_space_group_name_Hall '-C 2 2'
_cell_length_a 4.869
_cell_length_b 6.452
_cell_length_c 2.462
_cell_angle_alpha 90.00
_cell_angle_beta 90.00
_cell_angle_gamma 90.00
loop_
_atom_site_label
_atom_site_fract_x
_atom_site_fract_y
_atom_site_fract_z
Be1 0.000 0.000 0.000
Ni1 0.000 0.500 0.000
Ni2 0.250 0.250 0.500

***

(2)
# Be3Ni (GGA-PBEsol, relaxed)
# Formation energy from the elements = -228.2 meV per atom
# E above lowest polymorph = 74 meV per atom
# Energy = -19.070 eV/f.u.
data_Be3Ni
_space_group_name_H-M_alt 'P 4/m m m'
_space_group_IT_number 123
_space_group_name_Hall '-P 4 2'
_cell_length_a 2.610
_cell_length_b 2.610
_cell_length_c 4.878
_cell_angle_alpha 90.00
_cell_angle_beta 90.00
_cell_angle_gamma 90.00
loop_
_atom_site_label
_atom_site_fract_x
_atom_site_fract_y
_atom_site_fract_z
Be1 0.000 0.000 0.000
Be2 0.500 0.500 0.250
Ni1 0.000 0.000 0.500

***

(3)
# BeNi3 (GGA-PBEsol, relaxed)
# Formation energy from the elements = -182.6 meV per atom
# Energy = -23.203 eV/f.u.
data_BeNi3
_space_group_name_H-M_alt 'C 1 2/m 1'
_space_group_IT_number 12
_cell_length_a 8.053
_cell_length_b 2.469
_cell_length_c 4.022
_cell_angle_alpha 90.00
_cell_angle_beta 105.99
_cell_angle_gamma 90.00
loop_
_space_group_symop_operation_xyz
'x,y,z'
'-x,-y,-z'
'-x,y,-z'
'x,-y,z'
'x+1/2,y+1/2,z'
'-x+1/2,-y+1/2,-z'
'-x+1/2,y+1/2,-z'
'x+1/2,-y+1/2,z'
loop_
_atom_site_label
_atom_site_fract_x
_atom_site_fract_y
_atom_site_fract_z
Be1 0.000 0.000 0.000
Ni1 0.000 0.500 0.500
Ni2 0.237 0.500 0.239

***

(4)
# Be3Ni (GGA-PBEsol, relaxed)
# Formation energy from the elements = -301.3 meV per atom
# E above lowest polymorph = 1 meV per atom
# Energy = -19.363 eV/f.u.
data_Be3Ni
_space_group_name_H-M_alt 'P m m n'
_space_group_IT_number 59
_cell_length_a 3.654
_cell_length_b 4.484
_cell_length_c 4.038
_cell_angle_alpha 90.00
_cell_angle_beta 90.00
_cell_angle_gamma 90.00
loop_
_space_group_symop_operation_xyz
'x,y,z'
'-x,-y,-z'
'-x+1/2,-y+1/2,z'
'x+1/2,y+1/2,-z'
'x+1/2,-y,-z'
'-x+1/2,y,z'
'-x,y+1/2,-z'
'x,-y+1/2,z'
loop_
_atom_site_label
_atom_site_fract_x
_atom_site_fract_y
_atom_site_fract_z
Be1 0.250 0.003 0.157
Be2 0.250 0.750 0.661
Ni1 0.250 0.250 0.654

***

(5)
# BeNi3 (GGA-PBEsol, relaxed)
# Formation energy from the elements = -160.5 meV per atom
# Energy = -23.114 eV/f.u.
data_BeNi3
_space_group_name_H-M_alt 'P 4/m m m'
_space_group_IT_number 123
_space_group_name_Hall '-P 4 2'
_cell_length_a 3.838
_cell_length_b 3.838
_cell_length_c 2.624
_cell_angle_alpha 90.00
_cell_angle_beta 90.00
_cell_angle_gamma 90.00
loop_
_atom_site_label
_atom_site_fract_x
_atom_site_fract_y
_atom_site_fract_z
Be1 0.000 0.000 0.000
Ni1 0.000 0.500 0.500
Ni2 0.500 0.500 0.000

***

(6)
# BeNi3 (GGA-PBEsol, relaxed)
# Formation energy from the elements = -171.3 meV per atom
# Energy = -23.158 eV/f.u.
data_BeNi3
_space_group_name_H-M_alt 'I 4/m m m'
_space_group_IT_number 139
_space_group_name_Hall '-I 4 2'
_cell_length_a 3.424
_cell_length_b 3.424
_cell_length_c 6.623
_cell_angle_alpha 90.00
_cell_angle_beta 90.00
_cell_angle_gamma 90.00
loop_
_atom_site_label
_atom_site_fract_x
_atom_site_fract_y
_atom_site_fract_z
Be1 0.000 0.000 0.000
Ni1 0.000 0.000 0.500
Ni2 0.000 0.500 0.250

***

(7)
# Be3Ni (GGA-PBEsol, relaxed)
# Formation energy from the elements = -271.9 meV per atom
# E above lowest polymorph = 30 meV per atom
# Energy = -19.245 eV/f.u.
data_Be3Ni
_space_group_name_H-M_alt 'F m -3 m'
_space_group_IT_number 225
_space_group_name_Hall '-F 4 2 3'
_cell_length_a 5.096
_cell_length_b 5.096
_cell_length_c 5.096
_cell_angle_alpha 90.00
_cell_angle_beta 90.00
_cell_angle_gamma 90.00
loop_
_atom_site_label
_atom_site_fract_x
_atom_site_fract_y
_atom_site_fract_z
Be1 0.000 0.000 0.000
Be2 0.250 0.250 0.250
Ni1 0.000 0.000 0.500

***

(8)
# Be3Ni (GGA-PBEsol, relaxed)
# Formation energy from the elements = -302.2 meV per atom
# E above lowest polymorph = 0 meV per atom
# Energy = -19.367 eV/f.u.
data_Be3Ni
_space_group_name_H-M_alt 'I m m m'
_space_group_IT_number 71
_space_group_name_Hall '-I 2 2'
_cell_length_a 2.891
_cell_length_b 3.333
_cell_length_c 6.863
_cell_angle_alpha 90.00
_cell_angle_beta 90.00
_cell_angle_gamma 90.00
loop_
_atom_site_label
_atom_site_fract_x
_atom_site_fract_y
_atom_site_fract_z
Be1 0.000 0.000 0.000
Be2 0.000 0.500 0.250
Ni1 0.000 0.000 0.500

***

(9)
# BeNi3 (GGA-PBEsol, relaxed)
# Formation energy from the elements = -173.9 meV per atom
# Energy = -23.168 eV/f.u.
data_BeNi3
_space_group_name_H-M_alt 'P m -3 m'
_space_group_IT_number 221
_space_group_name_Hall '-P 4 2 3'
_cell_length_a 3.384
_cell_length_b 3.384
_cell_length_c 3.384
_cell_angle_alpha 90.00
_cell_angle_beta 90.00
_cell_angle_gamma 90.00
loop_
_atom_site_label
_atom_site_fract_x
_atom_site_fract_y
_atom_site_fract_z
Be1 0.000 0.000 0.000
Ni1 0.000 0.500 0.500

***

(10)
# BeNi3 (GGA-PBEsol, relaxed)
# Formation energy from the elements = -181.7 meV per atom
# Energy = -23.199 eV/f.u.
data_BeNi3
_space_group_name_H-M_alt 'I m m 2'
_space_group_IT_number 44
_cell_length_a 2.551
_cell_length_b 7.714
_cell_length_c 3.877
_cell_angle_alpha 90.00
_cell_angle_beta 90.00
_cell_angle_gamma 90.00
loop_
_space_group_symop_operation_xyz
'x,y,z'
'-x,-y,z'
'-x,y,z'
'x,-y,z'
'x+1/2,y+1/2,z+1/2'
'-x+1/2,-y+1/2,z+1/2'
'-x+1/2,y+1/2,z+1/2'
'x+1/2,-y+1/2,z+1/2'
loop_
_atom_site_label
_atom_site_fract_x
_atom_site_fract_y
_atom_site_fract_z
Be1 0.000 0.000 0.000
Ni1 0.000 0.271 0.494
Ni2 0.000 0.500 0.999

***

(11)
# Be2TcNiO (GGA-PBEsol, relaxed)
# Formation energy without anion corrections = -0.31 eV per atom
# Energy = -32.208 eV/f.u.
data_Be2TcNiO
_space_group_name_H-M_alt 'P 4/m m m'
_space_group_IT_number 123
_space_group_name_Hall '-P 4 2'
_cell_length_a 3.497
_cell_length_b 3.497
_cell_length_c 3.948
_cell_angle_alpha 90.00
_cell_angle_beta 90.00
_cell_angle_gamma 90.00
loop_
_atom_site_label
_atom_site_fract_x
_atom_site_fract_y
_atom_site_fract_z
Be1 0.000 0.500 0.000
Tc1 0.000 0.000 0.500
Ni1 0.500 0.500 0.500
O1 0.000 0.000 0.000

***

(12)
# BeNiTeO2 (GGA-PBEsol, relaxed)
# Formation energy without anion corrections = 0.04 eV per atom
# Energy = -23.992 eV/f.u.
data_BeNiTeO2
_space_group_name_H-M_alt 'P 4/m m m'
_space_group_IT_number 123
_space_group_name_Hall '-P 4 2'
_cell_length_a 3.609
_cell_length_b 3.609
_cell_length_c 5.419
_cell_angle_alpha 90.00
_cell_angle_beta 90.00
_cell_angle_gamma 90.00
loop_
_atom_site_label
_atom_site_fract_x
_atom_site_fract_y
_atom_site_fract_z
Be1 0.000 0.000 0.000
Ni1 0.500 0.500 0.500
Te1 0.500 0.500 0.000
O1 0.000 0.500 0.500

***

- Among the records above, which one has the highest energy?
  number 2